No. 1
The following is a PBEsol calculation of crystalline MnPRh at its relaxed geometry, from Alexandria.

Values from the calculation:
energy of formation: -0.618 eV/f.u.

Unit cell a=2.7038 b=2.7038 c=5.6211 alpha=90.00 beta=90.00 gamma=120.00
Last column: nearest neighbours and their distance in Å.
Fractional positions:
Mn1 0.0000 0.0000 0.0000  3 P 2.25
P1 0.3333 0.6667 0.7125  3 Mn 2.25, 3 Rh 2.44
Rh1 0.6667 0.3333 0.3792  3 P 2.44, 3 Mn 2.64, 6 Rh 2.70



No. 2
The following is a PBEsol calculation of crystalline MnP2Rh at its relaxed geometry, from Alexandria.

Values from the calculation:
energy of formation: -0.596 eV/f.u.

Unit cell a=7.2482 b=7.2482 c=7.2482 alpha=23.07 beta=23.07 gamma=23.07
Last column: nearest neighbours and their distance in Å.
Fractional positions:
Mn1 0.0000 0.0000 0.0000  3 P 2.22
P1 0.2645 0.2645 0.2645  3 Mn 2.22
P2 0.5097 0.5097 0.5097  3 Rh 2.30, 3 P 2.50
Rh1 0.7686 0.7686 0.7686  3 P 2.30



No. 3
The following is a PBEsol calculation of crystalline MnPRhS2 at its relaxed geometry, from Alexandria.

Values from the calculation:
raw formation energy: 0.568 eV/atom

Unit cell a=4.7768 b=4.7768 c=4.2520 alpha=90.00 beta=90.00 gamma=90.00
Last column: nearest neighbours and their distance in Å.
Fractional positions:
Mn1 0.0000 0.0000 0.0000  8 S 3.20, 4 P 3.38
P1 0.5000 0.5000 0.0000  2 Rh 2.13
Rh1 0.5000 0.5000 0.5000  2 P 2.13
S1 0.0000 0.5000 0.5000  2 Rh 2.39
S2 0.5000 0.0000 0.5000  2 Rh 2.39



No. 4
The following is a PBEsol calculation of crystalline Mn2PRu at its relaxed geometry, from Alexandria.

Values from the calculation:
energy of formation: -0.547 eV/f.u.

Unit cell a=3.5366 b=3.5366 c=3.7624 alpha=90.00 beta=90.00 gamma=90.00
Last column: nearest neighbours and their distance in Å.
Fractional positions:
Mn1 0.0000 0.5000 0.0000  4 Mn 2.50, 4 Ru 2.58, 4 P 2.58
Mn2 0.5000 0.0000 0.0000  4 Mn 2.50, 4 Ru 2.58, 4 P 2.58
P1 0.0000 0.0000 0.5000  4 Ru 2.50, 8 Mn 2.58
Ru1 0.5000 0.5000 0.5000  4 P 2.50, 8 Mn 2.58



| no. | calculated volume (Å³/atom) |
| --- | --- |
| 1 | 11.9 |
| 2 | 12.8 |
| 3 | 19.4 |
| 4 | 11.8 |